[1]
Below is a relaxed Zn4Ag3Au4 crystal, with properties calculated at the PBE-GGA level.

The structure in POSCAR format:
```
Zn4Ag3Au4
1.0
5.108 0.023 -0.027
-0.479 4.629 -2.164
0.475 1.738 7.032
Ag Zn Au
3 4 4
Direct
0.935 0.928 0.800
0.000 0.500 0.000
0.065 0.072 0.200
0.725 0.836 0.453
0.598 0.328 0.245
0.402 0.672 0.755
0.275 0.164 0.547
0.208 0.637 0.412
0.792 0.363 0.588
0.543 0.791 0.108
0.457 0.209 0.892
```

As for the offset from the most stable computed form: 0 meV/atom. The energy of formation from the pure elements is -132 meV per atom. The total magnetization is 0.00 μB per formula unit. Its density of states at the Fermi level is 0.231 states/eV per atom. Its uncorrected energy is -0.0942 hartree per atom.

=====

[2]
Below is a relaxed Zn4AgAu6 crystal, with properties calculated at the PBE-GGA level.

The structure in POSCAR format:
```
Zn4AgAu6
1.0
7.445 -1.366 -2.009
-4.654 5.969 2.009
-4.654 -0.326 6.290
Zn Au Ag
4 6 1
Direct
0.000 0.152 0.577
0.575 0.423 0.423
0.000 0.577 0.152
0.425 0.848 0.848
0.454 0.051 0.051
0.546 0.598 0.598
0.500 0.000 0.500
0.000 0.949 0.402
0.500 0.500 0.000
0.000 0.402 0.949
0.000 0.000 0.000
```

The energy of formation from the pure elements is -82 meV per atom. The total magnetization is 0.00 μB per formula unit. Its density of states at the Fermi level is 0.300 states/eV per atom. Its uncorrected energy is -0.0953 hartree per atom.

=====

[3]
Below is a relaxed Zn12Ag6Au crystal, with properties calculated at the PBE-GGA level.

The structure in POSCAR format:
```
Zn12Ag6Au
1.0
-6.835 -1.063 -0.026
1.772 -6.368 2.039
0.309 2.936 6.255
Ag Zn Au
6 12 1
Direct
0.772 0.774 0.245
0.245 0.772 0.774
0.774 0.245 0.772
0.226 0.755 0.228
0.755 0.228 0.226
0.228 0.226 0.755
0.094 0.096 0.382
0.906 0.904 0.618
0.809 0.521 0.520
0.618 0.906 0.904
0.520 0.809 0.521
0.521 0.520 0.809
0.479 0.480 0.191
0.096 0.382 0.094
0.904 0.618 0.906
0.382 0.094 0.096
0.191 0.479 0.480
0.480 0.191 0.479
0.000 0.000 0.000
```

As for the offset from the most stable computed form: 48 meV/atom. The energy of formation from the pure elements is 28 meV per atom. The total magnetization is 0.00 μB per formula unit. Its density of states at the Fermi level is 0.218 states/eV per atom. Its uncorrected energy is -0.0680 hartree per atom.

=====

[4]
Below is a relaxed ZnAgAu crystal, with properties calculated at the PBE-GGA level.

The structure in POSCAR format:
```
ZnAgAu
1.0
-4.731 -0.135 2.276
-4.648 -0.629 -2.362
4.866 -1.853 0.685
Au Ag Zn
1 1 1
Direct
0.322 0.322 0.000
0.008 0.008 0.000
0.670 0.670 0.000
```

As for the offset from the most stable computed form: 2 meV/atom. The energy of formation from the pure elements is -114 meV per atom. The total magnetization is 0.00 μB per formula unit. Its density of states at the Fermi level is 0.295 states/eV per atom. Its uncorrected energy is -0.0949 hartree per atom.

=====

Repeat the fourth record exactly.
Below is a relaxed ZnAgAu crystal, with properties calculated at the PBE-GGA level.

The structure in POSCAR format:
```
ZnAgAu
1.0
-4.731 -0.135 2.276
-4.648 -0.629 -2.362
4.866 -1.853 0.685
Au Ag Zn
1 1 1
Direct
0.322 0.322 0.000
0.008 0.008 0.000
0.670 0.670 0.000
```

As for the offset from the most stable computed form: 2 meV/atom. The energy of formation from the pure elements is -114 meV per atom. The total magnetization is 0.00 μB per formula unit. Its density of states at the Fermi level is 0.295 states/eV per atom. Its uncorrected energy is -0.0949 hartree per atom.

=====

Among the records above, which one has the highest energy of formation from the pure elements?
Zn12Ag6Au

=====

Among the records above, which one has the highest uncorrected energy?
Zn12Ag6Au

=====

The highest density of states at the Fermi level belongs to which entry?
Zn4AgAu6